1.
# Sc2MnSi

Sc2MnSi at its PBEsol-relaxed geometry (meta-GGA SCAN, Alexandria via LeMat-Bulk).

```
data_Sc2MnSi
_cell_length_a 3.266
_cell_length_b 3.266
_cell_length_c 5.989
_cell_angle_alpha 90.00
_cell_angle_beta 90.00
_cell_angle_gamma 90.00
_space_group_name_H-M_alt 'P 1'
_space_group_IT_number 1
loop_
_space_group_symop_operation_xyz
'x,y,z'
loop_
_atom_site_label
_atom_site_fract_x
_atom_site_fract_y
_atom_site_fract_z
_atom_site_occupancy
Sc1 0.000 0.000 0.238 1
Sc2 0.000 0.000 0.762 1
Mn1 0.500 0.500 0.000 1
Si1 0.500 0.500 0.500 1
```

Computed properties:
Formation energy (no corrections), eV/atom: -0.2708

2.
# Sc3MnSi

Sc3MnSi at its PBEsol-relaxed geometry (meta-GGA SCAN, Alexandria via LeMat-Bulk).

```
data_Sc3MnSi
_cell_length_a 4.654
_cell_length_b 4.654
_cell_length_c 4.654
_cell_angle_alpha 90.00
_cell_angle_beta 90.00
_cell_angle_gamma 90.00
_space_group_name_H-M_alt 'P 1'
_space_group_IT_number 1
loop_
_space_group_symop_operation_xyz
'x,y,z'
loop_
_atom_site_label
_atom_site_fract_x
_atom_site_fract_y
_atom_site_fract_z
_atom_site_occupancy
Sc1 0.000 0.000 0.500 1
Sc2 0.000 0.500 0.000 1
Sc3 0.500 0.000 0.000 1
Mn1 0.000 0.000 0.000 1
Si1 0.500 0.500 0.500 1
```

Computed properties:
Formation energy (no corrections), eV/atom: 0.2521
Relative energy among the computed polymorphs, eV per atom: 0.2014

3.
# Sc2MnSi

Sc2MnSi at its PBEsol-relaxed geometry (meta-GGA SCAN, Alexandria via LeMat-Bulk).

```
data_Sc2MnSi
_cell_length_a 4.120
_cell_length_b 4.120
_cell_length_c 7.816
_cell_angle_alpha 90.00
_cell_angle_beta 90.00
_cell_angle_gamma 90.00
_space_group_name_H-M_alt 'P 1'
_space_group_IT_number 1
loop_
_space_group_symop_operation_xyz
'x,y,z'
loop_
_atom_site_label
_atom_site_fract_x
_atom_site_fract_y
_atom_site_fract_z
_atom_site_occupancy
Sc1 0.000 0.500 0.250 1
Sc2 0.000 0.500 0.750 1
Sc3 0.500 0.000 0.250 1
Sc4 0.500 0.000 0.750 1
Mn1 0.000 0.000 0.000 1
Mn2 0.500 0.500 0.500 1
Si1 0.000 0.000 0.500 1
Si2 0.500 0.500 0.000 1
```

Computed properties:
Formation energy (no corrections), eV/atom: -0.3826

4.
# SrScMn2

SrScMn2 at its PBEsol-relaxed geometry (meta-GGA SCAN, Alexandria via LeMat-Bulk).

```
data_SrScMn2
_cell_length_a 5.025
_cell_length_b 5.025
_cell_length_c 3.351
_cell_angle_alpha 90.00
_cell_angle_beta 90.00
_cell_angle_gamma 90.00
_space_group_name_H-M_alt 'P 1'
_space_group_IT_number 1
loop_
_space_group_symop_operation_xyz
'x,y,z'
loop_
_atom_site_label
_atom_site_fract_x
_atom_site_fract_y
_atom_site_fract_z
_atom_site_occupancy
Sr1 0.000 0.000 0.000 1
Sc1 0.500 0.500 0.000 1
Mn1 0.000 0.500 0.500 1
Mn2 0.500 0.000 0.500 1
```

Computed properties:
Relative energy among the computed polymorphs, eV per atom: 0.0000

5.
# SrScMn2

SrScMn2 at its PBEsol-relaxed geometry (meta-GGA SCAN, Alexandria via LeMat-Bulk).

```
data_SrScMn2
_cell_length_a 3.276
_cell_length_b 3.795
_cell_length_c 6.585
_cell_angle_alpha 90.00
_cell_angle_beta 90.00
_cell_angle_gamma 90.00
_space_group_name_H-M_alt 'P 1'
_space_group_IT_number 1
loop_
_space_group_symop_operation_xyz
'x,y,z'
loop_
_atom_site_label
_atom_site_fract_x
_atom_site_fract_y
_atom_site_fract_z
_atom_site_occupancy
Sr1 0.000 0.000 0.000 1
Sc1 0.000 0.000 0.500 1
Mn1 0.500 0.500 0.352 1
Mn2 0.500 0.500 0.648 1
```

Computed properties:
Relative energy among the computed polymorphs, eV per atom: 0.3723

6.
# ScTa2Mn

ScTa2Mn at its PBEsol-relaxed geometry (meta-GGA SCAN, Alexandria via LeMat-Bulk).

```
data_ScTa2Mn
_cell_length_a 2.970
_cell_length_b 4.221
_cell_length_c 5.429
_cell_angle_alpha 90.00
_cell_angle_beta 103.25
_cell_angle_gamma 90.00
_space_group_name_H-M_alt 'P 1'
_space_group_IT_number 1
loop_
_space_group_symop_operation_xyz
'x,y,z'
loop_
_atom_site_label
_atom_site_fract_x
_atom_site_fract_y
_atom_site_fract_z
_atom_site_occupancy
Sc1 0.000 0.000 0.000 1
Ta1 0.298 0.500 0.725 1
Ta2 0.702 0.500 0.275 1
Mn1 0.500 0.000 0.500 1
```

Computed properties:
Relative energy among the computed polymorphs, eV per atom: 0.1422

7.
# ScTaMn2

ScTaMn2 at its PBEsol-relaxed geometry (meta-GGA SCAN, Alexandria via LeMat-Bulk).

```
data_ScTaMn2
_cell_length_a 3.633
_cell_length_b 3.633
_cell_length_c 9.053
_cell_angle_alpha 90.00
_cell_angle_beta 90.00
_cell_angle_gamma 90.00
_space_group_name_H-M_alt 'P 1'
_space_group_IT_number 1
loop_
_space_group_symop_operation_xyz
'x,y,z'
loop_
_atom_site_label
_atom_site_fract_x
_atom_site_fract_y
_atom_site_fract_z
_atom_site_occupancy
Sc1 0.000 0.000 0.000 1
Sc2 0.500 0.500 0.500 1
Ta1 0.000 0.500 0.250 1
Ta2 0.500 0.000 0.750 1
Mn1 0.000 0.000 0.500 1
Mn2 0.000 0.500 0.750 1
Mn3 0.500 0.000 0.250 1
Mn4 0.500 0.500 0.000 1
```

Computed properties:
E, eV for the cell shown: -233.74

8.
# ScTa2Mn

ScTa2Mn at its PBEsol-relaxed geometry (meta-GGA SCAN, Alexandria via LeMat-Bulk).

```
data_ScTa2Mn
_cell_length_a 3.075
_cell_length_b 3.075
_cell_length_c 7.052
_cell_angle_alpha 90.00
_cell_angle_beta 90.00
_cell_angle_gamma 90.00
_space_group_name_H-M_alt 'P 1'
_space_group_IT_number 1
loop_
_space_group_symop_operation_xyz
'x,y,z'
loop_
_atom_site_label
_atom_site_fract_x
_atom_site_fract_y
_atom_site_fract_z
_atom_site_occupancy
Sc1 0.000 0.000 0.000 1
Ta1 0.000 0.000 0.568 1
Ta2 0.500 0.500 0.300 1
Mn1 0.500 0.500 0.755 1
```

Computed properties:
Relative energy among the computed polymorphs, eV per atom: 0.0000